[1]
This record from Alexandria via LeMat-Bulk describes a relaxed LiTaCl2 crystal. The functional is PBE-GGA.

## Properties
Its theoretical density is 6.1 g cm⁻³. Its formation energy (no corrections) is -414 meV/atom.

```
data_LiTaCl2
_chemical_formula_sum 'Li1 Ta1 Cl2'
_symmetry_space_group_name_H-M 'P 1 m 1'
_symmetry_Int_Tables_number 6
_cell_length_a 3.1358
_cell_length_b 5.0063
_cell_length_c 4.7385
_cell_angle_alpha 90.00
_cell_angle_beta 109.22
_cell_angle_gamma 90.00
loop_
_symmetry_equiv_pos_as_xyz
'x,y,z'
'x,-y,z'
loop_
_atom_site_label
_atom_site_fract_x
_atom_site_fract_y
_atom_site_fract_z
Li1 0.0000 0.0000 0.0000
Ta1 0.3670 0.5000 0.7325
Cl1 0.2989 0.0000 0.5951
Cl2 0.6493 0.5000 0.2941
```

[2]
This record from Alexandria via LeMat-Bulk describes a relaxed LiTaCl2 crystal. The functional is PBE-GGA.

## Properties
Its theoretical density is 6.4 g cm⁻³. Its formation energy (no corrections) is -121 meV/atom.

```
data_LiTaCl2
_chemical_formula_sum 'Li1 Ta1 Cl2'
_symmetry_space_group_name_H-M 'P 4/m m m'
_symmetry_Int_Tables_number 123
_symmetry_space_group_name_Hall '-P 4 2'
_cell_length_a 3.0174
_cell_length_b 3.0174
_cell_length_c 7.3286
_cell_angle_alpha 90.00
_cell_angle_beta 90.00
_cell_angle_gamma 90.00
loop_
_atom_site_label
_atom_site_fract_x
_atom_site_fract_y
_atom_site_fract_z
Li1 0.0000 0.0000 0.0000
Ta1 0.0000 0.0000 0.5000
Cl1 0.5000 0.5000 0.2219
```

For each record above, in turn, the calculated ΔE to the lowest computed polymorph values are 126; 239 kJ/mol of formula units.